! RbBa2NaPt | Alexandria via LeMat-Bulk | GGA-PBE | optimized geometry; values from VASP
! SG: P4/mmm, No. 123
! Excess energy over the best structure of this formula in the dataset in meV/atom: 3
&SYSTEM
  ibrav = 0, nat = 5, ntyp = 4
/
ATOMIC_SPECIES
Rb 85.47 Rb.upf
Ba 137.33 Ba.upf
Na 22.99 Na.upf
Pt 195.08 Pt.upf
ATOMIC_POSITIONS angstrom
Rb 0.000 0.000 0.000
Ba 0.000 3.108 3.384
Ba 3.108 0.000 3.384
Na 3.108 3.108 0.000
Pt 0.000 0.000 3.384
CELL_PARAMETERS angstrom
6.215 0.000 0.000
0.000 6.215 0.000
0.000 0.000 6.768